Material: Al2Re2H
Method: DFT, PBE
State: relaxed

a b c (Å): 5.518 5.518 4.319
angles (deg): 90.00 90.00 90.00
Sites, in units of the cell vectors:
Al  0.162  0.338  0.000
Al  0.338  0.838  0.000
Al  0.662  0.162  0.000
Al  0.838  0.662  0.000
Re  0.166  0.666  0.500
Re  0.334  0.166  0.500
Re  0.666  0.834  0.500
Re  0.834  0.334  0.500
H  0.000  0.000  0.500
H  0.500  0.500  0.500

electronic total energy	-7.03	eV/atom